# 1
CaTlSiTeSeF | Alexandria via LeMat-Bulk | PBE-GGA | relaxed; formation energy without anion corrections = -1.2633 eV per atom; calculated total energy = -51.74 eV/cell
1.0
6.404 0.000 -0.002
0.000 3.929 0.000
-3.796 0.000 13.234
F Ca Si Tl Te Se
2 2 2 2 2 2
Cartesian
1.897 0.000 7.342
3.795 1.964 0.725
0.012 0.000 12.945
1.910 1.964 6.329
4.496 0.000 4.011
2.598 1.964 10.628
-1.653 0.000 8.967
0.245 1.964 2.350
-3.225 0.000 12.406
-1.327 1.964 5.790
2.160 0.000 3.988
0.262 1.964 10.604

=====

# 2
AlAs2Br | Alexandria via LeMat-Bulk | PBE-GGA | relaxed; formation energy without anion corrections = 0.4582 eV per atom; calculated total energy = -12.88 eV/cell
1.0
-3.244 -3.498 0.927
-4.656 0.611 -1.250
-1.895 -2.587 -3.652
As Al Br
2 1 1
Cartesian
-2.449 -1.369 -0.994
-7.346 -4.106 -2.982
0.000 0.000 0.000
-4.897 -2.737 -1.988

=====

Which formula does entry 2 have? AlAs2Br